# 1
DFT (PBE-GGA) results for crystalline CaNdInCl6 at its relaxed geometry.

Total moment = 0.00 μB per atom
Calculated volume = 618 Å³/cell
Space group = P-31c
Energy relative to the elements, uncorrected = -2002 meV per atom

```
18
Lattice="7.246 0.000 0.000 -3.623 6.275 0.000 0.000 0.000 13.598" Properties=species:S:1:pos:R:3 pbc="T T T"
In 0.000 0.000 0.000
Cl -0.945 6.273 8.666
Nd 0.000 4.184 10.198
Cl 0.945 6.273 11.731
Cl 1.337 2.320 11.731
Cl 5.905 2.318 1.867
Cl 4.960 3.955 4.932
Cl -2.282 3.957 11.731
Ca 0.000 4.184 3.399
Ca 3.623 2.092 10.198
Cl -1.337 2.320 8.666
Cl 1.341 2.318 4.932
Nd 3.623 2.092 3.399
Cl 2.678 0.002 1.867
Cl 4.568 0.002 4.932
In 0.000 0.000 6.799
Cl 2.282 3.957 8.666
Cl 2.286 3.955 1.867
```


# 2
DFT (PBE-GGA) results for crystalline Pm6C3S2O at its relaxed geometry.

Total moment = 0.00 μB per atom
Calculated volume = 239 Å³/cell
Space group = C2/m
Energy relative to the elements, uncorrected = -1217 meV per atom

```
12
Lattice="3.794 0.000 0.000 0.000 7.748 0.199 -1.897 -2.316 8.079" Properties=species:S:1:pos:R:3 pbc="T T T"
Pm 0.000 5.781 0.254
Pm 0.000 1.495 5.615
S 0.000 1.811 2.764
S 1.897 3.621 5.514
C 1.897 -0.297 5.467
C 0.000 5.728 2.811
O 1.897 0.000 0.000
Pm 0.000 5.731 5.564
Pm 1.897 3.936 2.663
Pm 1.897 -0.349 8.024
Pm 1.897 -0.300 2.714
C 1.897 3.874 0.100
```


- calculated volume of number 2 (Pm6C3S2O)?
  239 Å³/cell


Please write out number 1 again, unchanged.
DFT (PBE-GGA) results for crystalline CaNdInCl6 at its relaxed geometry.

Total moment = 0.00 μB per atom
Calculated volume = 618 Å³/cell
Space group = P-31c
Energy relative to the elements, uncorrected = -2002 meV per atom

```
18
Lattice="7.246 0.000 0.000 -3.623 6.275 0.000 0.000 0.000 13.598" Properties=species:S:1:pos:R:3 pbc="T T T"
In 0.000 0.000 0.000
Cl -0.945 6.273 8.666
Nd 0.000 4.184 10.198
Cl 0.945 6.273 11.731
Cl 1.337 2.320 11.731
Cl 5.905 2.318 1.867
Cl 4.960 3.955 4.932
Cl -2.282 3.957 11.731
Ca 0.000 4.184 3.399
Ca 3.623 2.092 10.198
Cl -1.337 2.320 8.666
Cl 1.341 2.318 4.932
Nd 3.623 2.092 3.399
Cl 2.678 0.002 1.867
Cl 4.568 0.002 4.932
In 0.000 0.000 6.799
Cl 2.282 3.957 8.666
Cl 2.286 3.955 1.867
```


- What is the total moment in the first record?
  0.00 μB per atom